No. 1
The following is a DFT calculation (PBE) of a relaxed structure of PrPaSe4.

Computed properties:
**Energy relative to the elements, uncorrected**: -9.03 eV per formula unit
**Energy above the lowest structure with this stoichiometry**: 0 meV per atom
**Symmetry**: C2/m (12)
**Density**: 6.86 Mg/m³

```
data_PrPaSe4
_space_group_name_H-M_alt 'P 1'
_space_group_IT_number 1
_space_group_name_Hall 'P 1'
_cell_length_a 4.882
_cell_length_b 4.882
_cell_length_c 6.987
_cell_angle_alpha 90.38
_cell_angle_beta 90.38
_cell_angle_gamma 90.00
loop_
_atom_site_label
_atom_site_type_symbol
_atom_site_fract_x
_atom_site_fract_y
_atom_site_fract_z
Pr1 Pr 0.000 0.000 0.000
Pa1 Pa 0.500 0.500 0.500
Se1 Se 0.000 0.498 0.736
Se2 Se 0.000 0.502 0.264
Se3 Se 0.498 0.000 0.736
Se4 Se 0.502 0.000 0.264
```

---

No. 2
The following is a DFT calculation (PBE) of a relaxed structure of Na2WAu.

Computed properties:
**Energy above the lowest structure with this stoichiometry**: 47 meV per atom
**Symmetry**: Fm-3m (225)
**Energy of formation from the pure elements**: 1234 meV/atom
**Density**: 8.11 Mg/m³

```
data_Na2WAu
_space_group_name_H-M_alt 'P 1'
_space_group_IT_number 1
_space_group_name_Hall 'P 1'
_cell_length_a 4.981
_cell_length_b 4.981
_cell_length_c 4.981
_cell_angle_alpha 60.00
_cell_angle_beta 60.00
_cell_angle_gamma 60.00
loop_
_atom_site_label
_atom_site_type_symbol
_atom_site_fract_x
_atom_site_fract_y
_atom_site_fract_z
Na1 Na 0.250 0.250 0.250
Na2 Na 0.750 0.750 0.750
W1 W 0.000 0.000 0.000
Au1 Au 0.500 0.500 0.500
```

---

No. 3
The following is a DFT calculation (PBE) of a relaxed structure of SmTmAl2Ga2.

Computed properties:
**Symmetry**: P-3m1 (164)
**Energy of formation from the pure elements**: -566 meV/atom
**Density**: 6.86 Mg/m³

```
data_SmTmAl2Ga2
_space_group_name_H-M_alt 'P 1'
_space_group_IT_number 1
_space_group_name_Hall 'P 1'
_cell_length_a 4.495
_cell_length_b 4.495
_cell_length_c 7.088
_cell_angle_alpha 90.00
_cell_angle_beta 90.00
_cell_angle_gamma 120.00
loop_
_atom_site_label
_atom_site_type_symbol
_atom_site_fract_x
_atom_site_fract_y
_atom_site_fract_z
Sm1 Sm 0.000 0.000 0.000
Tm1 Tm 0.000 0.000 0.500
Al1 Al 0.333 0.667 0.738
Al2 Al 0.667 0.333 0.262
Ga1 Ga 0.333 0.667 0.265
Ga2 Ga 0.667 0.333 0.735
```

---

no.,volume (Å³ per cell)
1,166.51
2,87.36
3,124.02